A | # RbGdTeO

Crystalline RbGdTeO at its relaxed geometry (GGA-PBE, OQMD).

The structure in POSCAR format:
```
RbGdTeO
1.0
-0.616 1.375 -3.620
2.718 -2.759 0.613
-10.669 -11.040 -2.377
Gd O Rb Te
2 2 2 2
direct
0.000 0.000 0.197
0.000 0.000 0.803
0.333 0.667 0.134
0.333 0.667 0.866
0.667 0.333 0.000
0.333 0.667 0.500
0.667 0.333 0.327
0.667 0.333 0.673
```


B | # RbGdTeO

Crystalline RbGdTeO at its relaxed geometry (GGA-PBE, OQMD).

The structure in POSCAR format:
```
RbGdTeO
1.0
-0.196 -2.055 4.398
8.205 2.593 1.577
-2.417 6.008 2.700
Gd O Rb Te
2 2 2 2
direct
0.500 0.893 0.026
0.500 0.107 0.526
0.500 0.078 0.222
0.500 0.922 0.722
0.000 0.288 0.118
0.000 0.712 0.618
0.000 0.705 0.125
0.000 0.295 0.625
```


The most stable arrangement is B, and the next structure is 175 meV/atom less stable.


A | # YTeAuO

Crystalline YTeAuO at its relaxed geometry (GGA-PBE, OQMD).

The structure in POSCAR format:
```
YTeAuO
1.0
-2.370 -4.342 2.807
2.542 -3.668 -3.526
8.048 -0.384 6.201
Au O Te Y
4 4 4 4
direct
0.684 0.184 0.491
0.184 0.316 0.491
0.816 0.684 0.491
0.316 0.816 0.491
0.749 0.249 0.003
0.249 0.251 0.003
0.751 0.749 0.003
0.251 0.751 0.003
0.000 0.000 0.289
0.500 0.500 0.289
0.500 0.000 0.721
0.000 0.500 0.721
0.500 0.000 0.107
0.000 0.500 0.107
0.000 0.000 0.895
0.500 0.500 0.895
```


B | # YTeAuO

Crystalline YTeAuO at its relaxed geometry (GGA-PBE, OQMD).

The structure in POSCAR format:
```
YTeAuO
1.0
5.699 0.000 0.000
0.000 10.076 0.000
0.000 0.000 5.699
Au O Te Y
4 4 4 4
direct
0.000 0.500 0.250
0.500 0.500 0.250
0.000 0.500 0.750
0.500 0.500 0.750
0.000 0.000 0.250
0.500 0.000 0.250
0.000 0.000 0.750
0.500 0.000 0.750
0.250 0.286 0.000
0.750 0.714 0.000
0.750 0.286 0.500
0.250 0.714 0.500
0.750 0.107 0.000
0.250 0.893 0.000
0.250 0.107 0.500
0.750 0.893 0.500
```


The most stable arrangement is A, and the next structure is 13 meV/atom less stable.